Entry from Alexandria: a relaxed structure of Tl6SeO12 (PBE-GGA).

a b c (Å): 6.4739 6.4739 6.4739
angles (deg): 97.28 97.28 97.28
Positions (direct):
1 Tl 0.6098 0.2982 0.1345
2 Tl 0.8655 0.3902 0.7018
3 Tl 0.1345 0.6098 0.2982
4 Tl 0.3902 0.7018 0.8655
5 Tl 0.7018 0.8655 0.3902
6 Tl 0.2982 0.1345 0.6098
7 O 0.7163 0.9378 0.0258
8 O 0.3958 0.8253 0.5735
9 O 0.1747 0.4265 0.6042
10 O 0.6042 0.1747 0.4265
11 O 0.0258 0.7163 0.9378
12 O 0.9742 0.2837 0.0622
13 O 0.8253 0.5735 0.3958
14 O 0.5735 0.3958 0.8253
15 O 0.4265 0.6042 0.1747
16 O 0.9378 0.0258 0.7163
17 O 0.2837 0.0622 0.9742
18 O 0.0622 0.9742 0.2837
19 Se 0.0000 0.0000 0.0000

Values from the calculation:
Its crystal system is trigonal. The space group is R-3 (148). The value obtained for the energy relative to the elements, uncorrected is -0.64 eV per atom.


Entry from Alexandria: a relaxed structure of Tl2SeO4 (PBE-GGA).

a b c (Å): 6.4575 8.1248 10.9753
angles (deg): 90.00 90.00 90.00
Positions (direct):
1 Se 0.7628 0.1990 0.1614
2 Se 0.2372 0.3010 0.6614
3 Se 0.7372 0.6990 0.8386
4 Se 0.2628 0.8010 0.3386
5 Tl 0.2669 0.4896 0.9554
6 Tl 0.7828 0.6725 0.1732
7 Tl 0.2828 0.3275 0.3268
8 Tl 0.7331 0.0104 0.4554
9 Tl 0.7172 0.1725 0.8268
10 Tl 0.2331 0.9896 0.0446
11 Tl 0.2172 0.8275 0.6732
12 Tl 0.7669 0.5104 0.5446
13 O 0.0596 0.7907 0.4349
14 O 0.1844 0.4964 0.7012
15 O 0.9404 0.7093 0.9349
16 O 0.9722 0.2795 0.0927
17 O 0.2054 0.6938 0.2112
18 O 0.6844 0.5036 0.7988
19 O 0.2946 0.1938 0.7888
20 O 0.8156 0.0036 0.2012
21 O 0.3156 0.9964 0.2988
22 O 0.7946 0.8062 0.7112
23 O 0.5596 0.2093 0.0651
24 O 0.4404 0.2907 0.5651
25 O 0.7054 0.3062 0.2888
26 O 0.0278 0.2205 0.5927
27 O 0.4722 0.7205 0.4073
28 O 0.5278 0.7795 0.9073

Values from the calculation:
Its crystal system is orthorhombic. As for the relative energy among the computed polymorphs: 0.000 eV per atom. The space group is P2_12_12_1 (19). The value obtained for the energy relative to the elements, uncorrected is -0.83 eV per atom.


Entry from Alexandria: a relaxed structure of Tl12Se5O3 (PBE-GGA).

a b c (Å): 15.2420 15.2420 15.2420
angles (deg): 109.47 109.47 109.47
Positions (direct):
1 O 0.2500 0.6250 0.8750
2 O 0.8750 0.1250 0.2500
3 O 0.3750 0.7500 0.6250
4 O 0.8750 0.7500 0.1250
5 O 0.1250 0.2500 0.8750
6 O 0.7500 0.3750 0.1250
7 O 0.3750 0.6250 0.2500
8 O 0.7500 0.8750 0.6250
9 O 0.6250 0.3750 0.7500
10 O 0.6250 0.2500 0.3750
11 O 0.2500 0.1250 0.3750
12 O 0.1250 0.8750 0.7500
13 Se 0.3750 0.2500 0.1250
14 Se 0.5000 0.0000 0.5000
15 Se 0.0000 0.5000 0.5000
16 Se 0.0000 0.0000 0.0000
17 Se 0.2500 0.8750 0.1250
18 Se 0.5000 0.5000 0.0000
19 Se 0.0000 0.0000 0.5000
20 Se 0.6250 0.7500 0.8750
21 Se 0.2500 0.3750 0.6250
22 Se 0.7500 0.1250 0.8750
23 Se 0.8750 0.2500 0.6250
24 Se 0.1250 0.3750 0.2500
25 Se 0.0000 0.5000 0.0000
26 Se 0.6250 0.8750 0.2500
27 Se 0.3750 0.1250 0.7500
28 Se 0.5000 0.5000 0.5000
29 Se 0.7500 0.6250 0.3750
30 Se 0.1250 0.7500 0.3750
31 Se 0.5000 0.0000 0.0000
32 Se 0.8750 0.6250 0.7500
33 Tl 0.6841 0.0594 0.2120
34 Tl 0.9721 0.8474 0.7880
35 Tl 0.7880 0.4406 0.3159
36 Tl 0.9721 0.1247 0.6841
37 Tl 0.1841 0.4721 0.1247
38 Tl 0.1247 0.9721 0.1841
39 Tl 0.6247 0.6841 0.4721
40 Tl 0.6526 0.2120 0.5279
41 Tl 0.5279 0.7120 0.6526
42 Tl 0.4406 0.6526 0.1247
43 Tl 0.8159 0.2880 0.4406
44 Tl 0.5279 0.8159 0.3753
45 Tl 0.2120 0.6526 0.0279
46 Tl 0.1247 0.1526 0.4406
47 Tl 0.5594 0.3474 0.8753
48 Tl 0.1841 0.7120 0.5594
49 Tl 0.8753 0.8474 0.5594
50 Tl 0.8753 0.0279 0.8159
51 Tl 0.1526 0.1247 0.9406
52 Tl 0.2120 0.5594 0.6841
53 Tl 0.2880 0.4721 0.8474
54 Tl 0.7120 0.1841 0.0594
55 Tl 0.0279 0.1526 0.2120
56 Tl 0.3159 0.3753 0.0279
57 Tl 0.6841 0.6247 0.9721
58 Tl 0.0594 0.3753 0.8474
59 Tl 0.7880 0.3474 0.9721
60 Tl 0.3474 0.5594 0.3753
61 Tl 0.6247 0.9406 0.6526
62 Tl 0.9406 0.3159 0.2880
63 Tl 0.4721 0.2880 0.3474
64 Tl 0.0594 0.6841 0.7120
65 Tl 0.9406 0.6247 0.1526
66 Tl 0.8474 0.9721 0.2880
67 Tl 0.6526 0.4406 0.6247
68 Tl 0.7120 0.5279 0.1526
69 Tl 0.4721 0.1841 0.6247
70 Tl 0.1526 0.0279 0.7120
71 Tl 0.3753 0.3159 0.5279
72 Tl 0.5594 0.2120 0.1841
73 Tl 0.8474 0.8753 0.0594
74 Tl 0.4406 0.7880 0.8159
75 Tl 0.2880 0.8159 0.9406
76 Tl 0.0279 0.8753 0.3159
77 Tl 0.3159 0.9406 0.7880
78 Tl 0.8159 0.5279 0.8753
79 Tl 0.3753 0.0594 0.3474
80 Tl 0.3474 0.7880 0.4721

Values from the calculation:
Its crystal system is cubic. The space group is Ia-3d (230). The value obtained for the energy relative to the elements, uncorrected is -0.20 eV per atom.


Entry from Alexandria: a relaxed structure of Tl2SeO3 (PBE-GGA).

a b c (Å): 9.1029 7.4833 12.5128
angles (deg): 61.72 152.90 130.18
Positions (direct):
1 O 0.8110 0.7106 0.4172
2 O 0.0729 0.8058 0.3547
3 O 0.6378 0.2910 0.0279
4 O 0.9271 0.1942 0.6453
5 O 0.3622 0.7091 0.9721
6 O 0.1890 0.2894 0.5828
7 Tl 0.6409 0.3477 0.5466
8 Tl 0.4443 0.9576 0.1480
9 Tl 0.5557 0.0424 0.8520
10 Tl 0.3591 0.6523 0.4534
11 Se 0.3335 0.3903 0.7785
12 Se 0.6665 0.6097 0.2215

Values from the calculation:
Its crystal system is triclinic. The space group is P-1 (2). The value obtained for the energy relative to the elements, uncorrected is -0.86 eV per atom.


Entry from Alexandria: a relaxed structure of Tl2Se3O12 (PBE-GGA).

a b c (Å): 9.0860 9.5503 12.7638
angles (deg): 90.00 92.04 90.00
Positions (direct):
1 Tl 0.2455 0.5366 0.8859
2 Tl 0.7514 0.0295 0.8890
3 Tl 0.7455 0.9634 0.3859
4 Tl 0.7545 0.4634 0.1141
5 Tl 0.2486 0.9705 0.1110
6 Tl 0.7486 0.5295 0.6110
7 Tl 0.2514 0.4705 0.3890
8 Tl 0.2545 0.0366 0.6141
9 Se 0.4009 0.3742 0.6592
10 Se 0.9596 0.2541 0.5010
11 Se 0.9009 0.1258 0.1592
12 Se 0.3913 0.1242 0.3558
13 Se 0.0404 0.7459 0.4990
14 Se 0.6087 0.8758 0.6442
15 Se 0.0991 0.8742 0.8408
16 Se 0.5991 0.6258 0.3408
17 Se 0.4596 0.2459 0.0010
18 Se 0.5404 0.7541 0.9990
19 Se 0.8913 0.3758 0.8558
20 Se 0.1087 0.6242 0.1442
21 O 0.7584 0.4160 0.9391
22 O 0.3795 0.2074 0.6989
23 O 0.1127 0.8809 0.9722
24 O 0.0593 0.3814 0.9165
25 O 0.6205 0.7926 0.3011
26 O 0.4266 0.5849 0.3006
27 O 0.7773 0.0180 0.2111
28 O 0.9692 0.6169 0.5705
29 O 0.0734 0.0849 0.1994
30 O 0.3952 0.0083 0.2579
31 O 0.8572 0.2152 0.8068
32 O 0.8952 0.4917 0.7579
33 O 0.7977 0.3130 0.5441
34 O 0.6048 0.9917 0.7421
35 O 0.7023 0.8130 0.9559
36 O 0.3873 0.3809 0.5278
37 O 0.1205 0.7074 0.8011
38 O 0.8873 0.1191 0.0278
39 O 0.5731 0.6192 0.0809
40 O 0.4269 0.3808 0.9191
41 O 0.9303 0.7914 0.3963
42 O 0.9269 0.1192 0.4191
43 O 0.8795 0.2926 0.1989
44 O 0.6428 0.7152 0.6932
45 O 0.7416 0.9160 0.5609
46 O 0.2227 0.9820 0.7889
47 O 0.7227 0.5180 0.2889
48 O 0.1048 0.5083 0.2421
49 O 0.9266 0.9151 0.8006
50 O 0.2023 0.6870 0.4559
51 O 0.5734 0.4151 0.6994
52 O 0.2773 0.4820 0.7111
53 O 0.5697 0.2914 0.1037
54 O 0.5593 0.1186 0.4165
55 O 0.1428 0.7848 0.1932
56 O 0.9407 0.6186 0.0835
57 O 0.2977 0.1870 0.0441
58 O 0.4692 0.8831 0.0705
59 O 0.0731 0.8808 0.5809
60 O 0.4303 0.7086 0.8963
61 O 0.2416 0.5840 0.0609
62 O 0.0697 0.2086 0.6037
63 O 0.4407 0.8814 0.5835
64 O 0.5308 0.1169 0.9295
65 O 0.2584 0.0840 0.4391
66 O 0.3572 0.2848 0.3068
67 O 0.0308 0.3831 0.4295
68 O 0.6127 0.6191 0.4722

Values from the calculation:
Its crystal system is monoclinic. The space group is P2_1/c (14). The value obtained for the energy relative to the elements, uncorrected is -0.59 eV per atom.


Entry from Alexandria: a relaxed structure of Tl3SeO7 (PBE-GGA).

a b c (Å): 5.8995 5.8995 5.8995
angles (deg): 100.09 100.09 100.09
Positions (direct):
1 O 0.0404 0.7315 0.7315
2 O 0.7315 0.7315 0.0404
3 O 0.7315 0.0404 0.7315
4 O 0.6288 0.2676 0.2676
5 O 0.2676 0.6288 0.2676
6 O 0.0979 0.0979 0.0979
7 O 0.2676 0.2676 0.6288
8 Se 0.8892 0.8892 0.8892
9 Tl 0.4072 0.4072 0.9995
10 Tl 0.4072 0.9995 0.4072
11 Tl 0.9995 0.4072 0.4072

Values from the calculation:
Its crystal system is trigonal. The space group is R3m (160). The value obtained for the energy relative to the elements, uncorrected is -0.63 eV per atom.


Entry from Alexandria: a relaxed structure of Tl9SeO3 (PBE-GGA).

a b c (Å): 9.2632 9.3224 11.2932
angles (deg): 74.47 65.79 60.21
Positions (direct):
1 Tl 0.2916 0.8798 0.0604
2 Tl 0.3093 0.8012 0.4619
3 Tl 0.2530 0.1877 0.3327
4 Tl 0.7683 0.3798 0.5604
5 Tl 0.4488 0.2567 0.6277
6 Tl 0.8010 0.0931 0.0601
7 Tl 0.8613 0.0323 0.3915
8 Tl 0.9906 0.3301 0.1380
9 Tl 0.2265 0.6877 0.8327
10 Tl 0.4276 0.3012 0.9619
11 Tl 0.5414 0.8301 0.6380
12 Tl 0.6668 0.7567 0.1277
13 Tl 0.0457 0.5931 0.5601
14 Tl 0.0986 0.1290 0.6983
15 Tl 0.4994 0.4384 0.2851
16 Tl 0.7149 0.5323 0.8915
17 Tl 0.7771 0.9384 0.7851
18 Tl 0.0741 0.6290 0.1983
19 O 0.9967 0.0669 0.1639
20 O 0.6164 0.2350 0.7528
21 O 0.9888 0.9486 0.8524
22 O 0.3958 0.7350 0.2528
23 O 0.7725 0.5669 0.6639
24 O 0.2103 0.4486 0.3524
25 Se 0.1067 0.3586 0.8532
26 Se 0.6816 0.8586 0.3531

Values from the calculation:
Its crystal system is monoclinic. The space group is Cc (9). The value obtained for the energy relative to the elements, uncorrected is -0.42 eV per atom.


no.,total magnetization (μB/cell),volume (Å³/f.u.)
1,0.0,264.1
2,0.0,144.0
3,0.0,681.5
4,0.0,142.0
5,0.0,276.7
6,0.0,194.5
7,0.0,384.7